(1)
! GGA-PBE Ta4SbRh, optimized geometry; values from VASP
! Calculated total energy, Ha/atom: -0.347
! Space-group type: No. 216
&SYSTEM
  ibrav = 0, nat = 6, ntyp = 3
/
ATOMIC_SPECIES
Ta 180.95 Ta.upf
Rh 102.91 Rh.upf
Sb 121.76 Sb.upf
ATOMIC_POSITIONS angstrom
Ta 3.529 4.011 5.140
Ta 1.277 3.286 6.522
Ta 1.223 5.463 4.860
Ta 1.389 2.940 3.806
Rh 2.782 5.888 7.623
Sb 0.000 0.000 0.000
CELL_PARAMETERS angstrom
4.263 2.133 2.657
-0.330 5.027 2.098
-0.223 0.690 5.409

(2)
! GGA-PBE Ta2SbRh, optimized geometry; values from VASP
! Calculated total energy, Ha/atom: -0.327
! Space-group type: No. 10
&SYSTEM
  ibrav = 0, nat = 4, ntyp = 3
/
ATOMIC_SPECIES
Sb 121.76 Sb.upf
Rh 102.91 Rh.upf
Ta 180.95 Ta.upf
ATOMIC_POSITIONS angstrom
Sb 2.168 1.569 2.740
Rh 2.168 1.479 -0.026
Ta 0.000 2.992 1.296
Ta 0.000 0.146 4.184
CELL_PARAMETERS angstrom
4.335 0.000 0.000
0.000 2.957 -0.051
0.000 0.180 5.531

(3)
! GGA-PBE TaSb2Rh, optimized geometry; values from VASP
! Calculated total energy, Ha/atom: -0.239
! Space-group type: No. 216
&SYSTEM
  ibrav = 0, nat = 4, ntyp = 3
/
ATOMIC_SPECIES
Ta 180.95 Ta.upf
Sb 121.76 Sb.upf
Rh 102.91 Rh.upf
ATOMIC_POSITIONS angstrom
Ta 5.133 5.133 5.133
Sb 0.000 0.000 0.000
Sb 1.711 1.711 1.711
Rh 3.422 3.422 3.422
CELL_PARAMETERS angstrom
0.000 3.422 3.422
3.422 0.000 3.422
3.422 3.422 0.000

(4)
! GGA-PBE TaSb2Rh, optimized geometry; values from VASP
! Calculated total energy, Ha/atom: -0.252
! Space-group type: No. 160
&SYSTEM
  ibrav = 0, nat = 4, ntyp = 3
/
ATOMIC_SPECIES
Ta 180.95 Ta.upf
Rh 102.91 Rh.upf
Sb 121.76 Sb.upf
ATOMIC_POSITIONS angstrom
Ta 16.224 0.000 1.388
Rh 7.691 0.000 0.658
Sb 24.467 0.000 2.093
Sb 30.932 0.000 2.645
CELL_PARAMETERS angstrom
10.653 -1.574 -0.001
10.653 1.574 -0.001
10.420 0.000 2.716

(5)
! GGA-PBE TaSb2Rh, optimized geometry; values from VASP
! Calculated total energy, Ha/atom: -0.258
! Space-group type: No. 99
&SYSTEM
  ibrav = 0, nat = 4, ntyp = 3
/
ATOMIC_SPECIES
Ta 180.95 Ta.upf
Rh 102.91 Rh.upf
Sb 121.76 Sb.upf
ATOMIC_POSITIONS angstrom
Ta 0.000 0.000 5.060
Rh 1.533 1.533 6.828
Sb 0.000 0.000 8.642
Sb 1.533 1.533 2.899
CELL_PARAMETERS angstrom
3.066 0.000 0.000
0.000 3.067 0.000
0.000 0.000 9.371

(6)
! GGA-PBE Ta2SbRh, optimized geometry; values from VASP
! Calculated total energy, Ha/atom: -0.325
! Space-group type: No. 35
&SYSTEM
  ibrav = 0, nat = 4, ntyp = 3
/
ATOMIC_SPECIES
Ta 180.95 Ta.upf
Sb 121.76 Sb.upf
Rh 102.91 Rh.upf
ATOMIC_POSITIONS angstrom
Ta 5.956 -0.105 2.271
Ta 8.209 0.276 0.549
Sb 2.068 -0.236 2.010
Rh 4.162 0.140 0.279
CELL_PARAMETERS angstrom
-0.217 1.989 2.239
-0.012 -2.608 1.489
8.250 0.278 0.552

(7)
! GGA-PBE Ta2SbRh, optimized geometry; values from VASP
! Calculated total energy, Ha/atom: -0.328
! Space-group type: No. 99
&SYSTEM
  ibrav = 0, nat = 4, ntyp = 3
/
ATOMIC_SPECIES
Sb 121.76 Sb.upf
Ta 180.95 Ta.upf
Rh 102.91 Rh.upf
ATOMIC_POSITIONS angstrom
Sb 1.725 1.725 4.620
Ta 1.725 1.725 1.653
Ta 0.000 0.000 6.121
Rh 0.000 0.000 2.924
CELL_PARAMETERS angstrom
3.450 0.000 0.000
0.000 3.450 0.000
0.000 0.000 6.127

(8)
! GGA-PBE Ta2SbRh, optimized geometry; values from VASP
! Calculated total energy, Ha/atom: -0.327
! Space-group type: No. 8
&SYSTEM
  ibrav = 0, nat = 4, ntyp = 3
/
ATOMIC_SPECIES
Sb 121.76 Sb.upf
Ta 180.95 Ta.upf
Rh 102.91 Rh.upf
ATOMIC_POSITIONS angstrom
Sb 0.000 9.093 2.994
Ta 0.000 2.914 1.061
Ta 0.000 9.904 0.030
Rh 0.000 5.957 2.038
CELL_PARAMETERS angstrom
1.787 4.954 0.015
-1.787 4.954 0.015
0.000 2.065 4.033